1.
YCrOs2 after structural relaxation. Source: Alexandria, functional PBE-GGA.

Summary:
offset from the most stable computed form: 323.3 meV per atom

POSCAR file:
```
YCrOs2
1.0
4.525 0.000 0.000
2.263 3.919 0.000
2.263 1.306 3.695
Os Cr Y
2 1 1
Direct
0.250 0.250 0.250
0.000 0.000 0.000
0.500 0.500 0.500
0.750 0.750 0.750
```

***

2.
AlCuCl2 after structural relaxation. Source: Alexandria, functional PBE-GGA.

Summary:
offset from the most stable computed form: 210.0 meV per atom
formation energy without anion corrections: -0.4359 eV per atom

POSCAR file:
```
AlCuCl2
1.0
-2.419 -2.264 -1.231
0.395 0.820 3.415
-5.580 6.453 -0.904
Cl Al Cu
2 1 1
Direct
0.500 0.500 0.335
0.000 0.000 0.926
0.500 0.500 0.724
0.000 0.000 0.516
```

***

3.
NaNb3Al after structural relaxation. Source: Alexandria, functional PBE-GGA.

Summary:
offset from the most stable computed form: 0.0 meV per atom

POSCAR file:
```
NaNb3Al
1.0
4.855 0.000 0.000
0.000 4.855 0.000
0.000 0.000 4.855
Nb Al Na
3 1 1
Direct
0.500 0.000 0.000
0.000 0.000 0.500
0.000 0.500 0.000
0.000 0.000 0.000
0.500 0.500 0.500
```

***

4.
Tb3Mg3Tl2Hg after structural relaxation. Source: Alexandria, functional PBE-GGA.

Summary:
VASP energy: -27.1 eV per cell

POSCAR file:
```
Tb3Mg3Tl2Hg
1.0
-3.696 -2.701 -0.481
1.036 -0.082 -7.501
3.287 -5.269 4.334
Mg Tl Tb Hg
3 2 3 1
Direct
0.500 0.000 0.761
0.500 0.761 0.000
0.500 0.239 0.239
0.500 0.667 0.333
0.500 0.333 0.667
0.000 0.581 0.581
0.000 0.000 0.419
0.000 0.419 0.000
0.000 0.000 0.000
```

***

5.
Sm5Er2Sb5 after structural relaxation. Source: Alexandria, functional PBE-GGA.

Summary:
formation energy without anion corrections: -0.8868 eV per atom

POSCAR file:
```
Sm5Er2Sb5
1.0
-3.885 0.305 -2.063
3.248 -6.416 -2.355
-6.005 -2.064 11.006
Sb Sm Er
5 5 2
Direct
0.310 0.620 0.212
0.690 0.380 0.788
0.116 0.232 0.425
0.884 0.768 0.575
0.000 0.000 0.000
0.500 0.000 0.500
0.275 0.549 0.654
0.339 0.679 0.963
0.661 0.321 0.037
0.725 0.451 0.346
0.047 0.094 0.790
0.953 0.906 0.210
```

***

6.
AcDy4Er2Tm after structural relaxation. Source: Alexandria, functional PBE-GGA.

Summary:
VASP energy: -35.8 eV per cell

POSCAR file:
```
AcDy4Er2Tm
1.0
-4.822 -1.156 -1.052
-0.217 -2.866 4.144
-3.318 5.165 9.534
Dy Tm Er Ac
4 1 2 1
Direct
0.500 0.740 0.260
0.000 0.760 0.741
0.500 0.260 0.740
0.000 0.240 0.259
0.000 0.500 0.500
0.000 0.000 0.000
0.500 0.000 0.500
0.500 0.500 0.000
```

***

7.
K2YZr after structural relaxation. Source: Alexandria, functional PBE-GGA.

Summary:
offset from the most stable computed form: 347.6 meV per atom

POSCAR file:
```
K2YZr
1.0
-13.814 -0.586 3.149
-14.151 -0.871 -0.255
-13.597 -3.668 1.656
Y K Zr
1 2 1
Direct
0.250 0.250 0.250
0.497 0.497 0.497
0.003 0.003 0.003
0.750 0.750 0.750
```

***

8.
GdPuOsPd after structural relaxation. Source: Alexandria, functional PBE-GGA.

Summary:
VASP energy: -46.0 eV per cell

POSCAR file:
```
GdPuOsPd
1.0
-4.311 -1.926 1.291
-2.295 -3.103 -3.011
-0.313 -4.747 1.152
Os Pu Gd Pd
1 1 1 1
Direct
0.750 0.750 0.750
0.500 0.500 0.500
0.000 0.000 0.000
0.250 0.250 0.250
```

***

9.
Rb13Na3 after structural relaxation. Source: Alexandria, functional PBE-GGA.

Summary:
VASP energy: -16.1 eV per cell

POSCAR file:
```
Rb13Na3
1.0
-4.424 -4.431 8.368
-5.416 -6.323 -6.318
8.637 -7.823 0.424
Rb Na
13 3
Direct
0.767 0.233 0.500
0.779 0.787 0.000
0.986 0.486 0.237
0.514 0.014 0.237
0.232 0.768 0.500
0.986 0.486 0.763
0.766 0.765 0.500
0.514 0.014 0.763
0.213 0.221 0.000
0.230 0.770 0.000
0.235 0.234 0.500
0.510 0.490 0.227
0.510 0.490 0.773
0.986 0.014 0.246
0.786 0.214 0.000
0.986 0.014 0.754
```

***

10.
Ba3PbI2 after structural relaxation. Source: Alexandria, functional PBE-GGA.

Summary:
formation energy without anion corrections: -1.1771 eV per atom

POSCAR file:
```
Ba3PbI2
1.0
-7.519 -4.601 0.626
3.230 -3.365 -7.520
3.798 -2.225 7.677
I Ba Pb
4 6 2
Direct
0.250 0.919 0.081
0.250 0.242 0.758
0.750 0.081 0.919
0.750 0.758 0.242
0.000 0.500 0.000
0.002 0.205 0.354
0.998 0.795 0.646
0.500 0.000 0.500
0.498 0.646 0.795
0.502 0.354 0.205
0.250 0.593 0.407
0.750 0.407 0.593
```

***

11.
Cs2KIO4 after structural relaxation. Source: Alexandria, functional PBE-GGA.

Summary:
formation energy without anion corrections: -1.0209 eV per atom

POSCAR file:
```
Cs2KIO4
1.0
-2.377 -1.805 -6.074
3.796 -4.249 3.653
-4.139 0.578 5.324
K Cs O I
1 2 4 1
Direct
0.500 0.250 0.750
0.000 0.000 0.000
0.500 0.750 0.250
0.358 0.805 0.765
0.642 0.407 0.447
0.960 0.553 0.195
0.040 0.235 0.593
0.000 0.500 0.500
```

***

12.
Cs2BHBr6 after structural relaxation. Source: Alexandria, functional PBE-GGA.

Summary:
VASP energy: -26.9 eV per cell

POSCAR file:
```
Cs2BHBr6
1.0
8.059 0.000 0.000
0.000 8.059 0.000
4.029 4.029 4.850
Br Cs B H
6 2 1 1
Direct
0.286 0.286 0.000
0.813 0.813 0.374
0.187 0.187 0.626
0.714 0.714 0.000
0.286 0.714 0.000
0.714 0.286 0.000
0.250 0.750 0.500
0.750 0.250 0.500
0.000 0.000 0.000
0.500 0.500 0.000
```

***

What did the tenth record say?
Ba3PbI2 after structural relaxation. Source: Alexandria, functional PBE-GGA.

Summary:
formation energy without anion corrections: -1.1771 eV per atom

POSCAR file:
```
Ba3PbI2
1.0
-7.519 -4.601 0.626
3.230 -3.365 -7.520
3.798 -2.225 7.677
I Ba Pb
4 6 2
Direct
0.250 0.919 0.081
0.250 0.242 0.758
0.750 0.081 0.919
0.750 0.758 0.242
0.000 0.500 0.000
0.002 0.205 0.354
0.998 0.795 0.646
0.500 0.000 0.500
0.498 0.646 0.795
0.502 0.354 0.205
0.250 0.593 0.407
0.750 0.407 0.593
```

***

- Which formula does entry 9 have?
  Rb13Na3